DFT (GGA+U) results for VReO4 after structural relaxation.

The structure in POSCAR format:
```
VReO4
1.0
5.599 -0.029 -0.012
-1.623 5.359 0.012
2.666 2.159 4.426
O V Re
8 2 2
direct
0.779 0.291 0.512
0.750 0.182 0.068
0.197 0.709 0.511
0.303 0.291 0.988
0.750 0.818 0.432
0.721 0.709 0.988
0.250 0.781 0.969
0.250 0.219 0.531
0.250 0.500 0.250
0.750 0.500 0.750
0.476 0.000 0.524
0.024 0.000 0.976
```

- symmetry = Immm
- V (Å³/cell) = 132.7
- ΔE to the lowest computed polymorph (kJ/mol of atoms) = 1.37